Density functional theory data (GGA-PBE) for Cs3In2Pb2 after structural relaxation.

The density of states at the Fermi level is 5.8 states/eV/f.u. The formation energy is -0.088 eV per atom. Its size of the total moment is 0.000 μB per cell.

The space group is Pbcm (No. 57) and the conventional cell measures 7.766, 10.515 and 16.341 Å, with angles of 90.00, 90.00 and 90.00 degrees. The distinct sites, in fractional coordinates, are Cs at (0.108, 0.125, 0.106), Cs at (0.321, 0.727, 0.750), In at (0.389, 0.024, 0.587), Pb at (0.215, 0.088, 0.750) and Pb at (0.414, 0.750, 0.000).

Density functional theory data (GGA-PBE) for Tm3RuO6 after structural relaxation.

The density of states at the Fermi level is 6.4 states/eV/f.u. As for the raw formation energy: -66.72 kcal/mol of atoms. Its size of the total moment is 6.065 μB per cell.

The space group is R-3 (No. 148, hexagonal axes) and the conventional cell measures 9.4074, 9.4074 and 10.5186 Å, with angles of 90.00, 90.00 and 120.00 degrees. The distinct sites, in fractional coordinates, are Tm at (0.0438, 0.7780, 0.1980), Ru at (0.0000, 0.0000, 0.0000), Ru at (0.0000, 0.0000, 0.5000), O at (0.0285, 0.8189, 0.4020) and O at (0.0293, 0.8391, 0.8807).

Density functional theory data (GGA-PBE) for NaIrRu after structural relaxation.

The density of states at the Fermi level is 3.6 states/eV/f.u. The value obtained for the energy above the most stable polymorph in this dataset is 348 meV per atom. The formation energy is 0.681 eV per atom. Its size of the total moment is 0.000 μB per cell.

The space group is P4/nmm (No. 129, origin choice 2) and the conventional cell measures 3.733, 3.733 and 8.232 Å, with angles of 90.00, 90.00 and 90.00 degrees. The distinct sites, in fractional coordinates, are Na at (0.250, 0.250, 0.121), Ir at (0.250, 0.250, 0.714) and Ru at (0.250, 0.750, 0.500).

The records above give, respectively, DFT total energy values of -2.30; -8.14; -5.80 eV/atom.